[1]
HgSbOs PBE relaxed; uncorrected formation energy = 0.787 eV/atom; total DFT energy (no corrections) = -4.43 eV/atom
1.0
4.523 0.000 0.000
-2.261 3.917 0.000
0.000 0.000 3.511
Hg Sb Os
1 1 1
Cartesian
0.000 0.000 0.000 Hg
2.261 1.306 1.757 Sb
0.000 2.611 1.747 Os

***

[2]
AcMgZn4Ga2 PBE relaxed; ΔH_f (0 K) = -0.18 eV per atom; total DFT energy (no corrections) = -2.29 eV/atom
1.0
2.235 1.291 9.308
-2.235 1.291 9.308
0.000 -2.581 9.308
Ac Mg Zn Ga
1 1 4 2
Cartesian
0.000 0.000 0.000 Ac
0.000 0.000 13.962 Mg
0.000 0.000 3.531 Zn
0.000 0.000 11.222 Zn
0.000 0.000 16.702 Zn
0.000 0.000 24.393 Zn
0.000 0.000 6.672 Ga
0.000 0.000 21.252 Ga

***

[3]
LiCuMo PBE relaxed; ΔH_f (0 K) = 0.16 eV per atom; total DFT energy (no corrections) = -5.45 eV/atom
1.0
2.573 0.000 0.000
0.000 4.316 0.000
-0.618 0.000 7.431
Li Cu Mo
2 2 2
Cartesian
0.000 0.000 0.000 Li
0.458 0.000 5.111 Li
0.242 2.158 1.265 Cu
0.860 2.158 6.382 Cu
1.386 0.000 2.578 Mo
2.085 2.158 3.897 Mo

***

[4]
Ni2PdPt2 PBE relaxed; ΔH_f (0 K) = -0.04 eV per atom; total DFT energy (no corrections) = -5.81 eV/atom
1.0
4.232 -1.917 0.000
4.232 1.917 0.000
-4.110 0.000 4.290
Ni Pd Pt
2 1 2
Cartesian
-0.392 0.000 1.251 Ni
4.746 0.000 3.039 Ni
2.177 0.000 2.145 Pd
-1.114 0.000 3.809 Pt
5.469 0.000 0.480 Pt

***

[5]
NaZn2Ga6 PBE relaxed; ΔH_f (0 K) = 0.01 eV per atom; total DFT energy (no corrections) = -2.44 eV/atom
1.0
-1.870 3.852 6.174
1.870 -3.852 6.174
1.870 3.852 -6.174
Na Zn Ga
1 2 6
Cartesian
0.000 0.000 0.000 Na
1.870 0.000 4.697 Zn
0.000 3.852 1.477 Zn
1.870 -1.336 2.347 Ga
1.870 2.512 0.000 Ga
1.870 1.336 2.347 Ga
0.000 2.516 3.827 Ga
0.000 1.341 6.174 Ga
0.000 5.189 3.827 Ga

***

[6]
Cs2CaCd2Te4 PBE relaxed; uncorrected formation energy = -0.984 eV/atom; total DFT energy (no corrections) = -3.00 eV/atom
1.0
8.817 -2.344 0.000
8.817 2.344 0.000
-2.804 0.000 8.592
Cs Ca Cd Te
2 1 2 4
Cartesian
2.073 0.000 0.469 Cs
12.756 0.000 8.123 Cs
-1.402 0.000 4.296 Ca
4.367 0.000 4.510 Cd
10.462 0.000 4.082 Cd
1.672 0.000 5.818 Te
6.518 0.000 6.299 Te
8.312 0.000 2.293 Te
13.157 0.000 2.774 Te

***

[7]
ZrGeN2F PBE relaxed; uncorrected formation energy = -0.505 eV/atom; total DFT energy (no corrections) = -6.84 eV/atom
1.0
4.261 0.000 0.000
0.000 4.261 0.000
0.000 0.000 4.142
Zr Ge N F
1 1 2 1
Cartesian
0.000 0.000 0.000 Zr
2.131 2.131 2.071 Ge
0.000 2.131 0.000 N
2.131 0.000 0.000 N
0.000 0.000 2.071 F

***

[8]
Hf4Mg9In11 PBE relaxed; ΔH_f (0 K) = -0.03 eV per atom; total DFT energy (no corrections) = -3.54 eV/atom
1.0
7.640 -10.956 0.000
7.640 10.956 0.000
0.000 0.000 3.236
Hf Mg In
4 9 11
Cartesian
2.598 1.709 0.000 Hf
2.598 -1.709 0.000 Hf
12.682 1.709 0.000 Hf
12.682 -1.709 0.000 Hf
0.000 0.000 0.000 Mg
5.974 6.139 0.000 Mg
6.021 2.119 0.000 Mg
9.305 6.139 0.000 Mg
6.021 -2.119 0.000 Mg
9.259 2.119 0.000 Mg
5.974 -6.139 0.000 Mg
9.259 -2.119 0.000 Mg
9.305 -6.139 0.000 Mg
4.142 3.938 1.618 In
7.640 8.360 1.618 In
4.525 0.000 1.618 In
7.640 4.158 1.618 In
4.142 -3.938 1.618 In
7.640 0.000 1.618 In
11.138 3.938 1.618 In
7.640 -4.158 1.618 In
10.755 0.000 1.618 In
7.640 -8.360 1.618 In
11.138 -3.938 1.618 In

***

[9]
NiTeSe PBE relaxed; uncorrected formation energy = -0.242 eV/atom; total DFT energy (no corrections) = -4.38 eV/atom
1.0
3.756 0.000 0.000
-1.878 3.253 0.000
0.000 0.000 5.060
Ni Te Se
1 1 1
Cartesian
0.000 0.000 0.000 Ni
0.000 2.169 3.696 Te
1.878 1.084 1.155 Se

***

[10]
Er7PuSc12 PBE relaxed; ΔH_f (0 K) = 0.27 eV per atom; total DFT energy (no corrections) = -5.84 eV/atom
1.0
5.720 3.303 4.845
-5.720 3.303 4.845
0.000 -6.605 4.845
Er Pu Sc
7 1 12
Cartesian
0.000 0.000 0.000 Er
-2.025 -1.945 6.139 Er
-2.697 0.781 8.397 Er
0.672 -2.726 8.397 Er
-0.672 2.726 6.139 Er
2.697 -0.781 6.139 Er
2.025 1.945 8.397 Er
0.000 0.000 7.268 Pu
-0.508 -1.864 2.865 Sc
-3.400 1.120 5.377 Sc
-1.360 1.372 2.865 Sc
0.730 -3.504 5.377 Sc
-2.669 -2.384 9.159 Sc
1.868 0.492 2.865 Sc
-1.868 -0.492 11.671 Sc
2.669 2.384 5.377 Sc
-0.730 3.504 9.160 Sc
1.360 -1.372 11.671 Sc
3.400 -1.120 9.160 Sc
0.508 1.864 11.671 Sc

***

[11]
La3Pu4Se8 PBE relaxed; uncorrected formation energy = -1.707 eV/atom; total DFT energy (no corrections) = -8.37 eV/atom
1.0
5.967 -5.990 0.000
5.967 5.990 0.000
-5.917 0.000 5.982
La Pu Se
3 4 8
Cartesian
0.000 0.000 0.000 La
0.025 2.995 2.991 La
0.025 -2.995 2.991 La
2.983 2.995 0.000 Pu
2.983 -2.995 0.000 Pu
5.967 0.000 0.000 Pu
3.008 0.000 2.991 Pu
3.008 2.977 2.991 Se
5.967 2.955 0.000 Se
3.026 0.000 0.028 Se
0.055 0.000 3.040 Se
5.962 0.000 2.942 Se
2.990 0.000 5.954 Se
5.967 -2.955 0.000 Se
3.008 -2.977 2.991 Se

***

[12]
SmY4Tm10 PBE relaxed; ΔH_f (0 K) = 0.36 eV per atom; total DFT energy (no corrections) = -4.65 eV/atom
1.0
-4.841 4.841 5.170
4.841 -4.841 5.170
4.841 4.841 -5.170
Sm Y Tm
1 4 10
Cartesian
0.000 0.000 0.000 Sm
6.445 0.695 0.000 Y
0.695 3.236 0.000 Y
4.146 1.604 5.170 Y
-1.604 4.146 5.170 Y
3.767 2.775 -1.664 Tm
2.066 -1.074 3.506 Tm
4.841 0.000 2.585 Tm
3.767 2.775 1.664 Tm
2.775 5.914 -1.664 Tm
2.066 -1.074 6.835 Tm
1.074 2.066 3.506 Tm
0.000 4.841 2.585 Tm
2.775 5.914 1.664 Tm
1.074 2.066 6.835 Tm